(1)
## Mg2Al2Ga5 (PBE)

Data for crystalline Mg2Al2Ga5 at its relaxed geometry.

Calculated total energy (eV/atom): -2.875
Formation energy (eV per atom): -0.008

Unit cell a=2.958 b=6.485 c=9.830 alpha=72.96 beta=98.23 gamma=104.22
Sites, in units of the cell vectors:
1 Mg 0.706 0.305 0.105
2 Mg 0.294 0.695 0.895
3 Al 0.108 0.927 0.306
4 Al 0.892 0.073 0.694
5 Ga 0.413 0.613 0.222
6 Ga 0.825 0.244 0.413
7 Ga 0.175 0.756 0.587
8 Ga 0.587 0.387 0.778
9 Ga 0.000 0.000 0.000

***

(2)
## Li2Tl3Te4 (PBE)

Data for crystalline Li2Tl3Te4 at its relaxed geometry.

Calculated total energy (eV/atom): -2.977
Formation energy without anion corrections (kJ/mol of formula units): -318

Unit cell a=6.473 b=9.885 c=9.885 alpha=67.03 beta=90.25 gamma=90.25
Sites, in units of the cell vectors:
1 Li 0.444 0.147 0.381
2 Li 0.056 0.619 0.853
3 Li 0.556 0.853 0.619
4 Li 0.944 0.381 0.147
5 Tl 0.983 0.979 0.197
6 Tl 0.517 0.803 0.021
7 Tl 0.017 0.021 0.803
8 Tl 0.483 0.197 0.979
9 Tl 0.250 0.593 0.407
10 Tl 0.750 0.407 0.593
11 Te 0.487 0.903 0.306
12 Te 0.013 0.694 0.097
13 Te 0.513 0.097 0.694
14 Te 0.987 0.306 0.903
15 Te 0.018 0.155 0.438
16 Te 0.482 0.562 0.845
17 Te 0.982 0.845 0.562
18 Te 0.518 0.438 0.155

***

(3)
## BaNaNdO3 (PBE)

Data for crystalline BaNaNdO3 at its relaxed geometry.

Calculated total energy (eV/atom): -6.330
Formation energy without anion corrections (kJ/mol of formula units): -1457

Unit cell a=3.768 b=9.444 c=6.676 alpha=102.18 beta=90.00 gamma=90.00
Sites, in units of the cell vectors:
1 Ba 0.750 0.689 0.635
2 Ba 0.250 0.311 0.365
3 Na 0.250 0.049 0.679
4 Na 0.750 0.951 0.321
5 Nd 0.250 0.663 0.127
6 Nd 0.750 0.337 0.873
7 O 0.250 0.819 0.455
8 O 0.750 0.775 0.026
9 O 0.750 0.502 0.223
10 O 0.750 0.181 0.545
11 O 0.250 0.498 0.777
12 O 0.250 0.225 0.974

***

(4)
## IrSO2F (PBE)

Data for crystalline IrSO2F at its relaxed geometry.

Calculated total energy (eV/atom): -4.806
Formation energy without anion corrections (kJ/mol of formula units): 72

Unit cell a=3.874 b=3.874 c=4.234 alpha=90.00 beta=90.00 gamma=90.00
Sites, in units of the cell vectors:
1 S 0.500 0.500 0.500
2 Ir 0.000 0.000 0.000
3 O 0.000 0.500 0.000
4 O 0.500 0.000 0.000
5 F 0.000 0.000 0.500

***

(5)
## MgCd2 (PBE)

Data for crystalline MgCd2 at its relaxed geometry.

Calculated total energy (eV/atom): -1.204
Formation energy (eV per atom): -0.062

Unit cell a=13.292 b=13.292 c=13.292 alpha=160.42 beta=160.42 gamma=27.83
Sites, in units of the cell vectors:
1 Mg 0.919 0.919 0.000
2 Mg 0.081 0.081 0.000
3 Mg 0.169 0.669 0.500
4 Mg 0.331 0.831 0.500
5 Cd 0.751 0.751 0.000
6 Cd 0.249 0.249 0.000
7 Cd 0.001 0.501 0.500
8 Cd 0.499 0.999 0.500
9 Cd 0.585 0.585 0.000
10 Cd 0.415 0.415 0.000
11 Cd 0.835 0.335 0.500
12 Cd 0.665 0.165 0.500

***

(6)
## SmPuGe4 (PBE)

Data for crystalline SmPuGe4 at its relaxed geometry.

Calculated total energy (eV/atom): -6.589
Formation energy (eV per atom): -0.335

Unit cell a=5.620 b=5.620 c=5.620 alpha=60.00 beta=60.00 gamma=60.00
Sites, in units of the cell vectors:
1 Ge 0.626 0.626 0.123
2 Ge 0.626 0.123 0.626
3 Ge 0.626 0.626 0.626
4 Ge 0.123 0.626 0.626
5 Sm 0.250 0.250 0.250
6 Pu 0.000 0.000 0.000